No. 1
## MgTiVP3O12 (GGA+U)

Data for a relaxed MgTiVP3O12 crystal. Values from VASP.

- Theoretical density: 3.0 g cm⁻³
- VASP energy: -272.9 eV/cell
- Symmetry: R3c

Quantum ESPRESSO input file:
```
&SYSTEM
  ibrav = 0, nat = 36, ntyp = 5
/
ATOMIC_SPECIES
Mg 24.30 Mg.upf
Ti 47.87 Ti.upf
V 50.94 V.upf
P 30.97 P.upf
O 16.00 O.upf
ATOMIC_POSITIONS crystal
Mg 0.000 0.000 0.000
Mg 0.500 0.500 0.500
Ti 0.146 0.146 0.146
Ti 0.646 0.646 0.646
V 0.359 0.359 0.359
V 0.859 0.859 0.859
P 0.046 0.755 0.456
P 0.255 0.546 0.956
P 0.456 0.046 0.755
P 0.546 0.956 0.255
P 0.755 0.456 0.046
P 0.956 0.255 0.546
O 0.003 0.824 0.610
O 0.004 0.187 0.382
O 0.055 0.914 0.258
O 0.096 0.742 0.940
O 0.110 0.324 0.503
O 0.187 0.382 0.004
O 0.242 0.596 0.440
O 0.258 0.055 0.914
O 0.324 0.503 0.110
O 0.382 0.004 0.187
O 0.414 0.555 0.758
O 0.440 0.242 0.596
O 0.503 0.110 0.324
O 0.504 0.882 0.687
O 0.555 0.758 0.414
O 0.596 0.440 0.242
O 0.610 0.003 0.824
O 0.687 0.504 0.882
O 0.742 0.940 0.096
O 0.758 0.414 0.555
O 0.824 0.610 0.003
O 0.882 0.687 0.504
O 0.914 0.258 0.055
O 0.940 0.096 0.742
CELL_PARAMETERS angstrom
4.319 2.494 6.923
-4.319 2.494 6.923
0.000 -4.988 6.923
```

=====

No. 2
## MgTiP3WO12 (GGA+U)

Data for a relaxed MgTiP3WO12 crystal. Values from VASP.

- Theoretical density: 3.8 g cm⁻³
- VASP energy: -270.6 eV/cell
- Symmetry: R3c

Quantum ESPRESSO input file:
```
&SYSTEM
  ibrav = 0, nat = 36, ntyp = 5
/
ATOMIC_SPECIES
Mg 24.30 Mg.upf
Ti 47.87 Ti.upf
P 30.97 P.upf
W 183.84 W.upf
O 16.00 O.upf
ATOMIC_POSITIONS crystal
Mg 0.000 0.000 0.000
Mg 0.500 0.500 0.500
Ti 0.355 0.355 0.355
Ti 0.855 0.855 0.855
P 0.053 0.459 0.741
P 0.241 0.959 0.553
P 0.459 0.741 0.053
P 0.553 0.241 0.959
P 0.741 0.053 0.459
P 0.959 0.553 0.241
W 0.143 0.143 0.143
W 0.643 0.643 0.643
O 0.000 0.624 0.808
O 0.001 0.408 0.166
O 0.066 0.265 0.897
O 0.086 0.948 0.749
O 0.124 0.500 0.308
O 0.166 0.001 0.408
O 0.249 0.448 0.586
O 0.265 0.897 0.066
O 0.308 0.124 0.500
O 0.397 0.765 0.566
O 0.408 0.166 0.001
O 0.448 0.586 0.249
O 0.500 0.308 0.124
O 0.501 0.666 0.908
O 0.566 0.397 0.765
O 0.586 0.249 0.448
O 0.624 0.808 0.000
O 0.666 0.908 0.501
O 0.749 0.086 0.948
O 0.765 0.566 0.397
O 0.808 0.000 0.624
O 0.897 0.066 0.265
O 0.908 0.501 0.666
O 0.948 0.749 0.086
CELL_PARAMETERS angstrom
4.384 2.531 7.030
-4.384 2.531 7.030
0.000 -5.062 7.030
```